1.
The following is a DFT calculation (PBE) of crystalline BaYSc2 at its relaxed geometry.

extended XYZ file:
```
4
Lattice="5.711 -1.755 0.000 5.711 1.755 0.000 -0.890 0.000 6.491" Properties=species:S:1:pos:R:3 pbc="T T T"
Ba 0.000 0.000 0.000
Y 5.266 0.000 3.245
Sc 2.165 0.000 4.603
Sc 8.368 0.000 1.887
```

Computed properties:
The symmetry is No. 12. The calculation puts the density of states at the Fermi level at 1.726 states/eV/atom. The value obtained for the uncorrected energy is -19.823 eV/cell. Its crystal system is monoclinic. Its distance to the lowest polymorph of the same formula is 0.1133 eV/atom.

2.
The following is a DFT calculation (PBE) of crystalline NaFe2ReSn at its relaxed geometry.

extended XYZ file:
```
5
Lattice="4.354 0.000 0.000 0.000 4.354 0.000 0.000 0.000 4.792" Properties=species:S:1:pos:R:3 pbc="T T T"
Na 0.000 0.000 0.000
Fe 0.000 2.177 0.000
Fe 2.177 0.000 0.000
Re 0.000 0.000 2.396
Sn 2.177 2.177 2.396
```

Computed properties:
The symmetry is No. 123. The calculation puts the density of states at the Fermi level at 1.034 states/eV/atom. The value obtained for the uncorrected energy is -24.680 eV/cell. Its crystal system is tetragonal.

3.
The following is a DFT calculation (PBE) of crystalline SrY2Cu at its relaxed geometry.

extended XYZ file:
```
4
Lattice="3.629 0.000 0.000 0.000 3.629 0.000 0.000 0.000 9.278" Properties=species:S:1:pos:R:3 pbc="T T T"
Sr 0.000 0.000 0.000
Y 0.000 0.000 5.649
Y 1.814 1.814 3.167
Cu 1.814 1.814 7.112
```

Computed properties:
The symmetry is No. 99. The calculation puts the density of states at the Fermi level at 1.311 states/eV/atom. The value obtained for the uncorrected energy is -18.668 eV/cell. Its crystal system is tetragonal. Its distance to the lowest polymorph of the same formula is 0.0020 eV/atom.

4.
The following is a DFT calculation (PBE) of crystalline Pm2RhBr at its relaxed geometry.

extended XYZ file:
```
4
Lattice="3.473 0.000 0.000 0.000 3.473 0.000 0.000 0.000 8.279" Properties=species:S:1:pos:R:3 pbc="T T T"
Pm 0.000 0.000 1.750
Pm 0.000 0.000 6.529
Rh 1.737 1.737 0.000
Br 1.737 1.737 4.140
```

Computed properties:
The symmetry is No. 123. The uncorrected formation energy is -3.61 eV/f.u. The calculation puts the density of states at the Fermi level at 0.591 states/eV/atom. The value obtained for the uncorrected energy is -22.131 eV/cell. Its crystal system is tetragonal. Its distance to the lowest polymorph of the same formula is 0.1813 eV/atom.